This record from Alexandria via LeMat-Bulk describes a relaxed MgTe2Br crystal. The functional is PBE.

```
MgTe2Br
1.0
2.229 1.287 8.376
-2.229 1.287 8.376
0.000 -2.574 8.376
Mg Te Br
1 2 1
Direct
0.000 0.000 0.000 Mg
0.390 0.390 0.390 Te
0.610 0.610 0.610 Te
0.500 0.500 0.500 Br
```

Calculated values
Space-group type: R-3m, No. 166
Energy relative to the elements, uncorrected: -27.4 kJ per mole of atoms
ΔE to the lowest computed polymorph: 344 meV/atom
Raw total energy: -2.67 eV per atom

=====

This record from Alexandria via LeMat-Bulk describes a relaxed Tl2TcAu crystal. The functional is PBE.

```
Tl2TcAu
1.0
-2.162 2.162 9.798
2.162 -2.162 9.798
2.162 2.162 -9.798
Tl Tc Au
4 2 2
Direct
0.116 0.625 0.991 Tl
0.375 0.366 0.491 Tl
0.634 0.125 0.009 Tl
0.875 0.884 0.509 Tl
0.000 0.000 0.000 Tc
0.750 0.250 0.500 Tc
0.250 0.750 0.500 Au
0.500 0.500 0.000 Au
```

Calculated values
Space-group type: I-42d, No. 122
Energy relative to the elements: 754 meV per atom
ΔE to the lowest computed polymorph: 283 meV/atom
Raw total energy: -3.84 eV per atom

=====

This record from Alexandria via LeMat-Bulk describes a relaxed K2LiMo crystal. The functional is PBE.

```
K2LiMo
1.0
-2.666 2.666 5.422
2.666 -2.666 5.422
2.666 2.666 -5.422
K Li Mo
2 1 1
Direct
0.250 0.750 0.500 K
0.750 0.250 0.500 K
0.000 0.000 0.000 Li
0.500 0.500 0.000 Mo
```

Calculated values
Space-group type: I4/mmm, No. 139
Energy relative to the elements: 1206 meV per atom
ΔE to the lowest computed polymorph: 192 meV/atom
Raw total energy: -2.53 eV per atom

=====

Per-record theoretical density, g/cm3: 4.138 12.756 1.950